Cr2AuC: relaxed, PBE-GGA.

abc: 6.132 6.132 5.081
angles: 52.89 52.89 90.00
Site moments in Bohr magnetons follow the coordinates.
Element x y z (fractional)
Cr 0.533 0.125 0.250  0.51
Cr 0.217 0.625 0.250  0.51
Cr 0.375 0.467 0.750  0.50
Cr 0.875 0.783 0.750  0.51
C 0.500 0.500 0.000  -0.03
C 0.250 0.750 0.500  -0.03
Au 0.000 0.000 0.000  0.00
Au 0.750 0.250 0.500  0.00

Computed properties:
The calculation puts the calculated formation energy at 12.672 kcal/mol of atoms. The density of states at the Fermi level is 1.6 states/eV/f.u. As for the crystal system: tetragonal.


UCrC: relaxed, PBE-GGA.

abc: 3.612 2.967 7.188
angles: 101.89 90.00 90.00
Element x y z (fractional)
U 0.250 0.935 0.871
U 0.750 0.065 0.129
Cr 0.250 0.257 0.515
Cr 0.750 0.743 0.485
C 0.250 0.661 0.322
C 0.750 0.339 0.678

Computed properties:
The calculation puts the excess energy over the best structure of this formula in the dataset at 0.0 meV per atom. The calculation puts the calculated formation energy at 0.676 kcal/mol of atoms. The density of states at the Fermi level is 3.5 states/eV/f.u. As for the crystal system: orthorhombic.


Zn6Cu8Pt: relaxed, PBE-GGA.

abc: 6.580 6.580 6.636
angles: 60.28 60.28 60.00
Element x y z (fractional)
Zn 0.466 0.938 0.836
Zn 0.062 0.239 0.164
Zn 0.239 0.534 0.164
Zn 0.761 0.466 0.836
Zn 0.938 0.761 0.836
Zn 0.534 0.062 0.164
Cu 0.602 0.308 0.320
Cu 0.692 0.229 0.680
Cu 0.229 0.398 0.680
Cu 0.841 0.841 0.477
Cu 0.159 0.159 0.523
Cu 0.771 0.602 0.320
Cu 0.308 0.771 0.320
Cu 0.398 0.692 0.680
Pt 0.000 0.000 0.000

Computed properties:
The calculation puts the calculated formation energy at -1.685 kcal/mol of atoms. The density of states at the Fermi level is 4.2 states/eV/f.u. As for the crystal system: trigonal.


ErScPtAu: relaxed, PBE-GGA.

abc: 3.417 3.417 6.946
angles: 90.00 90.00 90.00
Element x y z (fractional)
Er 0.500 0.500 0.598
Sc 0.500 0.500 0.115
Pt 0.000 0.000 0.339
Au 0.000 0.000 0.876

Computed properties:
The calculation puts the excess energy over the best structure of this formula in the dataset at 0.0 meV per atom. The calculation puts the calculated formation energy at -24.015 kcal/mol of atoms. The density of states at the Fermi level is 2.5 states/eV/f.u. As for the crystal system: tetragonal.


Tl2NiI8: relaxed, PBE-GGA.

abc: 8.071 8.716 8.716
angles: 69.31 91.78 91.78
Site moments in Bohr magnetons follow the coordinates.
Element x y z (fractional)
Tl 0.348 0.210 0.210  0.00
Tl 0.652 0.790 0.790  0.00
Ni 0.000 0.000 0.000  0.16
I 0.874 0.085 0.713  0.00
I 0.126 0.287 0.915  0.00
I 0.673 0.151 0.151  0.00
I 0.327 0.849 0.849  0.00
I 0.874 0.713 0.085  0.00
I 0.126 0.915 0.287  0.00
I 0.286 0.399 0.399  0.00
I 0.714 0.601 0.601  0.00

Computed properties:
As for the crystal system: monoclinic. The formation energy (no corrections) comes out at -0.181 eV/atom.


Li2AlTl3F9: relaxed, PBE-GGA.

abc: 5.742 5.742 7.074
angles: 90.00 90.00 120.00
Element x y z (fractional)
Li 0.333 0.667 0.169
Li 0.667 0.333 0.831
Al 0.000 0.000 0.500
Tl 0.333 0.667 0.712
Tl 0.000 0.000 0.000
Tl 0.667 0.333 0.288
F 0.848 0.152 0.650
F 0.848 0.696 0.650
F 0.304 0.152 0.650
F 0.696 0.848 0.350
F 0.152 0.304 0.350
F 0.152 0.848 0.350
F 0.500 0.000 0.000
F 0.000 0.500 0.000
F 0.500 0.500 0.000

Computed properties:
The density of states at the Fermi level is 8.7 states/eV/f.u. As for the crystal system: trigonal. The formation energy (no corrections) comes out at -2.528 eV/atom.


CaVPd2N: relaxed, PBE-GGA.

abc: 4.219 4.515 4.219
angles: 90.00 90.00 90.00
Site moments in Bohr magnetons follow the coordinates.
Element x y z (fractional)
Ca 0.000 0.500 0.000  0.02
N 0.000 0.000 0.000  0.00
Pd 0.000 0.000 0.500  0.00
Pd 0.500 0.000 0.000  0.00
V 0.500 0.500 0.500  -0.26

Computed properties:
The density of states at the Fermi level is 6.4 states/eV/f.u. As for the crystal system: tetragonal. The formation energy (no corrections) comes out at 0.423 eV/atom.


BaAs2S: relaxed, PBE-GGA.

abc: 8.399 8.399 6.777
angles: 51.71 51.71 90.00
Element x y z (fractional)
S 0.500 0.500 0.000
S 0.250 0.750 0.500
As 0.506 0.125 0.250
As 0.244 0.625 0.250
As 0.375 0.494 0.750
As 0.875 0.756 0.750
Ba 0.000 0.000 0.000
Ba 0.750 0.250 0.500

Computed properties:
The density of states at the Fermi level is 4.0 states/eV/f.u. As for the crystal system: tetragonal. The formation energy (no corrections) comes out at -0.226 eV/atom.


Spin magnetization
In order: 2.1; 0.0; 0.0; 0.0; 0.2; 0.0; 0.3; 0.0
Unit: μB per cell